Entry from Alexandria: crystalline Tb3HgPd4 at its relaxed geometry (PBE-GGA).

## Properties
- DOS(E_F): 3.6 states/eV/f.u.
- Total magnetization: 0.00 μB/f.u.
- Energy of formation from the pure elements: -0.7643 eV per atom

Unit cell a=4.890 b=6.965 c=9.781 alpha=90.00 beta=90.00 gamma=90.00
Fractional positions:
1 Pd 0.001 0.243 0.750
2 Pd 0.500 0.243 0.500
3 Pd 0.500 0.757 0.500
4 Pd 0.001 0.757 0.750
5 Pd 0.500 0.757 0.000
6 Pd 0.500 0.243 0.000
7 Pd 0.999 0.243 0.250
8 Pd 0.999 0.757 0.250
9 Hg 0.000 0.500 0.000
10 Hg 0.000 0.500 0.500
11 Tb 0.500 0.500 0.250
12 Tb 0.500 0.000 0.750
13 Tb 0.500 0.500 0.750
14 Tb 0.500 0.000 0.250
15 Tb 0.000 0.000 0.000
16 Tb 0.000 0.000 0.500

=====

Entry from Alexandria: crystalline KBaAl4 at its relaxed geometry (PBE-GGA).

## Properties
- DOS(E_F): 3.8 states/eV/f.u.
- Total magnetization: 0.00 μB/f.u.
- Energy of formation from the pure elements: -0.0019 eV per atom

Unit cell a=5.992 b=5.992 c=5.992 alpha=60.00 beta=60.00 gamma=60.00
Fractional positions:
1 K 0.000 0.000 0.000
2 Al 0.874 0.375 0.375
3 Al 0.375 0.375 0.375
4 Al 0.375 0.874 0.375
5 Al 0.375 0.375 0.874
6 Ba 0.750 0.750 0.750

=====

Entry from Alexandria: crystalline InFeP2 at its relaxed geometry (PBE-GGA).

## Properties
- DOS(E_F): 2.5 states/eV/f.u.
- Total magnetization: 1.78 μB/f.u.
- Energy of formation from the pure elements: 0.2206 eV per atom

Unit cell a=7.349 b=7.349 c=7.349 alpha=25.43 beta=25.43 gamma=25.43
Fractional positions:
1 P 0.981 0.981 0.981
2 P 0.250 0.250 0.250
3 Fe 0.515 0.515 0.515
4 In 0.753 0.753 0.753

=====

Entry from Alexandria: crystalline CrMoS3 at its relaxed geometry (PBE-GGA).

## Properties
- ΔE_f (raw): 0.509 eV/atom
- DOS(E_F): 3.1 states/eV/f.u.
- Total magnetization: 5.93 μB/f.u.
- Energy above the most stable polymorph in this dataset: 257 meV per atom

Unit cell a=4.521 b=4.521 c=4.521 alpha=90.00 beta=90.00 gamma=90.00
Fractional positions:
1 Mo 0.500 0.500 0.500
2 S 0.000 0.500 0.000
3 S 0.000 0.000 0.500
4 S 0.500 0.000 0.000
5 Cr 0.000 0.000 0.000

=====

Entry from Alexandria: crystalline LiCdIr2 at its relaxed geometry (PBE-GGA).

## Properties
- DOS(E_F): 4.4 states/eV/f.u.
- Total magnetization: 0.00 μB/f.u.
- Energy of formation from the pure elements: 0.1328 eV per atom

Unit cell a=2.746 b=2.746 c=9.124 alpha=90.00 beta=90.00 gamma=116.35
Fractional positions:
1 Ir 0.000 0.000 0.012
2 Ir 0.000 0.000 0.488
3 Cd 0.500 0.500 0.750
4 Li 0.500 0.500 0.250

=====

Entry from Alexandria: crystalline VCo at its relaxed geometry (PBE-GGA).

## Properties
- DOS(E_F): 2.0 states/eV/f.u.
- Total magnetization: 0.00 μB/f.u.
- Energy of formation from the pure elements: 0.0006 eV per atom

Unit cell a=2.495 b=4.613 c=12.411 alpha=90.00 beta=90.00 gamma=90.00
Fractional positions:
1 Co 0.500 0.381 0.667
2 Co 0.500 0.380 0.000
3 Co 0.000 0.619 0.167
4 Co 0.000 0.620 0.500
5 Co 0.500 0.381 0.333
6 Co 0.000 0.619 0.833
7 V 0.000 0.865 0.667
8 V 0.000 0.864 0.000
9 V 0.500 0.135 0.833
10 V 0.500 0.136 0.500
11 V 0.000 0.865 0.333
12 V 0.500 0.135 0.167

=====

Entry from Alexandria: crystalline Ce2ZnFe at its relaxed geometry (PBE-GGA).

## Properties
- DOS(E_F): 8.9 states/eV/f.u.
- Total magnetization: 0.90 μB/f.u.
- Energy of formation from the pure elements: 0.3142 eV per atom
- Energy above the most stable polymorph in this dataset: 358 meV per atom

Unit cell a=3.724 b=3.724 c=9.505 alpha=78.70 beta=78.70 gamma=60.00
Fractional positions:
1 Zn 0.000 0.000 0.000
2 Fe 0.500 0.500 0.500
3 Ce 0.886 0.886 0.341
4 Ce 0.114 0.114 0.659

=====

Entry from Alexandria: crystalline CsOsPd2 at its relaxed geometry (PBE-GGA).

## Properties
- DOS(E_F): 4.0 states/eV/f.u.
- Total magnetization: 0.00 μB/f.u.
- Energy of formation from the pure elements: 0.9425 eV per atom

Unit cell a=5.630 b=5.630 c=8.937 alpha=71.64 beta=71.64 gamma=90.00
Fractional positions:
1 Pd 0.375 0.126 0.750
2 Pd 0.874 0.125 0.250
3 Pd 0.876 0.625 0.250
4 Pd 0.875 0.124 0.750
5 Os 0.750 0.250 0.500
6 Os 0.000 0.000 0.000
7 Cs 0.500 0.500 0.000
8 Cs 0.250 0.750 0.500

=====

no.,total energy (eV/atom)
1,-5.13
2,-3.00
3,-5.28
4,-6.06
5,-5.00
6,-8.11
7,-5.09
8,-4.67